NbTe2W2S4: optimized geometry, PBE-GGA.

**M_tot**: 0.0000 μB/atom
**N(E_F)**: 4.58 states/eV per cell
**E_form (uncorrected)**: -0.61 eV per atom
**Symmetry**: P3m1

Geometry as POSCAR:
```
NbTe2W2S4
1.0
3.279 0.000 0.000
-1.639 2.840 0.000
0.000 0.000 22.598
W S Te Nb
2 4 2 1
Direct
0.667 0.333 0.662
0.000 0.000 0.969
0.667 0.333 0.901
0.000 0.000 0.593
0.667 0.333 0.037
0.000 0.000 0.730
0.667 0.333 0.421
0.667 0.333 0.236
0.000 0.000 0.328
```

---

MnGeSb2Te: optimized geometry, PBE-GGA.

**M_tot**: 0.0785 μB/atom
**N(E_F)**: 5.01 states/eV per cell
**E_form (uncorrected)**: 1.36 eV per atom
**Symmetry**: P4/mmm
**Excess energy over the best structure of this formula in the dataset**: 869 meV per atom

Geometry as POSCAR:
```
MnGeSb2Te
1.0
-4.612 -2.586 0.029
1.284 -2.342 -4.563
2.244 -3.972 2.670
Sb Mn Ge Te
2 1 1 1
Direct
0.500 0.000 0.000
0.000 0.500 0.000
0.500 0.500 0.500
0.000 0.000 0.000
0.000 0.000 0.500
```

---

TiMnMo2Pb: optimized geometry, PBE-GGA.

**M_tot**: 0.2294 μB/atom
**N(E_F)**: 11.62 states/eV per cell
**ΔE_f**: 2.40 eV/atom
**Symmetry**: P4/mmm

Geometry as POSCAR:
```
TiMnMo2Pb
1.0
-3.843 -0.885 3.072
2.929 -1.711 3.171
0.527 4.562 1.975
Ti Pb Mo Mn
1 1 2 1
Direct
0.500 0.500 0.500
0.000 0.000 0.000
0.000 0.000 0.500
0.500 0.000 0.000
0.000 0.500 0.000
```

---

KHf3N: optimized geometry, PBE-GGA.

**M_tot**: 0.0000 μB/atom
**N(E_F)**: 4.76 states/eV per cell
**E_form (uncorrected)**: 0.24 eV per atom
**Symmetry**: Pm-3m

Geometry as POSCAR:
```
KHf3N
1.0
-2.160 2.720 3.067
2.799 -1.555 3.350
2.996 3.414 -0.918
Hf N K
3 1 1
Direct
0.000 0.000 0.500
0.500 0.000 0.000
0.000 0.500 0.000
0.000 0.000 0.000
0.500 0.500 0.500
```

---

CeSb2Pb2: optimized geometry, PBE-GGA.

**M_tot**: 0.1493 μB/atom
**N(E_F)**: 13.82 states/eV per cell
**E_form (uncorrected)**: -0.41 eV per atom
**Symmetry**: Cmcm

Geometry as POSCAR:
```
CeSb2Pb2
1.0
4.550 0.000 0.000
0.000 4.558 0.000
-2.275 0.000 14.253
Ce Sb Pb
2 4 4
Direct
0.336 0.250 0.673
0.664 0.750 0.327
0.750 0.250 0.500
0.856 0.750 0.713
0.250 0.750 0.500
0.144 0.250 0.287
0.557 0.250 0.115
0.049 0.750 0.097
0.443 0.750 0.885
0.951 0.250 0.903
```

---

NaLiGa: optimized geometry, PBE-GGA.

**M_tot**: 0.0000 μB/atom
**N(E_F)**: 2.65 states/eV per cell
**ΔE_f**: -0.13 eV/atom
**Symmetry**: Cmcm
**Excess energy over the best structure of this formula in the dataset**: 0 meV per atom

Geometry as POSCAR:
```
NaLiGa
1.0
3.089 0.000 0.000
0.000 4.327 0.000
-1.544 0.000 10.115
Li Na Ga
2 2 2
Direct
0.928 0.250 0.855
0.072 0.750 0.145
0.815 0.750 0.629
0.185 0.250 0.371
0.542 0.250 0.084
0.458 0.750 0.916
```

---

GdTh2: optimized geometry, PBE-GGA.

**M_tot**: 2.3781 μB/atom
**N(E_F)**: 5.01 states/eV per cell
**ΔE_f**: 0.05 eV/atom
**Symmetry**: I4/mmm
**Excess energy over the best structure of this formula in the dataset**: 0 meV per atom

Geometry as POSCAR:
```
GdTh2
1.0
3.578 0.000 0.000
0.000 3.578 0.000
-1.789 -1.789 7.560
Gd Th
1 2
Direct
0.000 0.000 0.000
0.669 0.669 0.338
0.331 0.331 0.662
```

---

YMnCl: optimized geometry, PBE-GGA.

**M_tot**: 1.1160 μB/atom
**N(E_F)**: 1.23 states/eV per cell
**E_form (uncorrected)**: -0.45 eV per atom
**Symmetry**: P3m1

Geometry as POSCAR:
```
YMnCl
1.0
3.569 0.000 0.000
-1.784 3.091 0.000
0.000 0.000 6.723
Cl Y Mn
1 1 1
Direct
0.000 0.000 0.962
0.333 0.667 0.680
0.667 0.333 0.357
```

---

RbBiHN2: optimized geometry, PBE-GGA.

**M_tot**: 0.2718 μB/atom
**N(E_F)**: 3.56 states/eV per cell
**Symmetry**: P4/mmm
**E**: -17.8 eV per cell

Geometry as POSCAR:
```
RbBiHN2
1.0
-2.981 1.663 2.706
0.289 -7.648 5.017
3.173 1.720 2.439
Bi N H Rb
1 2 1 1
Direct
0.000 0.000 0.000
0.500 0.000 0.000
0.000 0.000 0.500
0.500 0.500 0.500
0.000 0.500 0.000
```

---

PmH6IrPt2: optimized geometry, PBE-GGA.

**M_tot**: 0.0000 μB/atom
**N(E_F)**: 2.14 states/eV per cell
**Symmetry**: P-1
**E**: -48.7 eV per cell

Geometry as POSCAR:
```
PmH6IrPt2
1.0
4.612 0.002 0.005
-2.307 4.561 -0.290
-2.293 -1.811 4.819
H Pt Ir Pm
6 2 1 1
Direct
0.652 0.028 0.706
0.664 0.608 0.707
0.341 0.968 0.254
0.895 0.967 0.255
0.098 0.029 0.706
0.329 0.387 0.254
0.413 0.691 0.121
0.580 0.304 0.839
0.997 0.998 0.980
0.997 0.498 0.480
```

---

LiBiC2I: optimized geometry, PBE-GGA.

**M_tot**: 0.0000 μB/atom
**N(E_F)**: 3.45 states/eV per cell
**E_form (uncorrected)**: 2.17 eV per atom
**Symmetry**: P4/mmm

Geometry as POSCAR:
```
LiBiC2I
1.0
4.430 0.000 0.000
0.000 4.831 0.000
0.000 0.000 4.430
Li Bi I C
1 1 1 2
Direct
0.000 0.500 0.000
0.500 0.500 0.500
0.000 0.000 0.000
0.500 0.000 0.000
0.000 0.000 0.500
```

---

Pr7Dy2Ho3: optimized geometry, PBE-GGA.

**M_tot**: 0.0000 μB/atom
**N(E_F)**: 17.37 states/eV per cell
**ΔE_f**: 0.07 eV/atom
**Symmetry**: P2/m
**Excess energy over the best structure of this formula in the dataset**: 0 meV per atom

Geometry as POSCAR:
```
Pr7Dy2Ho3
1.0
-3.472 0.828 0.290
-0.936 -5.244 3.751
2.809 5.808 17.037
Pr Ho Dy
7 3 2
Direct
0.000 0.555 0.167
0.500 0.052 0.173
0.000 0.445 0.833
0.500 0.764 0.493
0.500 0.948 0.827
0.500 0.236 0.507
0.000 0.000 0.000
0.000 0.116 0.340
0.000 0.884 0.660
0.500 0.500 0.000
0.500 0.390 0.670
0.500 0.610 0.330
```